Compound: RbPd3S2
Source: Alexandria
Functional: PBE
Structure: optimized geometry

Cell lengths 7.7709, 7.7709, 8.9954 Å; angles 110.28, 110.28, 29.27 degrees
Closest atoms and distances in Å follow each position.
Fractional coordinates of all 12 atoms:
Rb 0.1367 0.1367 0.0420  7 S 3.35-3.46, 2 Pd 3.69
Rb 0.8633 0.8633 0.9580  7 S 3.35-3.46, 2 Pd 3.69
Pd 0.0463 0.0463 0.3851  2 S 2.34
Pd 0.3122 0.3122 0.5890  2 S 2.32-2.41
Pd 0.4000 0.4000 0.3616  3 S 2.39-2.52
Pd 0.6000 0.6000 0.6384  3 S 2.39-2.52
Pd 0.6878 0.6878 0.4110  2 S 2.32-2.41
Pd 0.9537 0.9537 0.6149  2 S 2.34
S 0.1969 0.1969 0.7054  3 Pd 2.32-2.39
S 0.4762 0.4762 0.7664  4 Pd 2.34-2.52
S 0.5238 0.5238 0.2336  4 Pd 2.34-2.52
S 0.8031 0.8031 0.2946  3 Pd 2.32-2.39

VASP energy (eV/atom): -4.578
Total magnetic moment (μB/cell): 0.0
Uncorrected formation energy (kJ per mole of atoms): -43
N(E_F) (states/eV per atom): 0.67

=====

Compound: Rb3PdS3
Source: Alexandria
Functional: PBE
Structure: optimized geometry

Cell lengths 6.7604, 6.7604, 6.7604 Å; angles 109.87, 109.87, 109.87 degrees
Closest atoms and distances in Å follow each position.
Fractional coordinates of all 7 atoms:
Rb 0.1932 0.1932 0.6137  4 S 3.33-3.41
Rb 0.1932 0.6137 0.1932  4 S 3.33-3.41
Rb 0.6137 0.1932 0.1932  4 S 3.33-3.41
Pd 0.8268 0.8268 0.8268  3 S 2.26
S 0.0700 0.7166 0.7166  1 Pd 2.26
S 0.7166 0.0700 0.7166  1 Pd 2.26
S 0.7166 0.7166 0.0700  1 Pd 2.26

VASP energy (eV/atom): -3.567
Total magnetic moment (μB/cell): 1.0
Uncorrected formation energy (kJ per mole of atoms): -62
N(E_F) (states/eV per atom): 0.80

=====

Q: Which formula does entry 1 have?
A: RbPd3S2